1.
Compound: ScHgTeI2
Source: the Alexandria database
Functional: PBE
Structure: optimized geometry

E_tot	-3.135	eV per atom
size of the total moment	0.52	Bohr magnetons per cell
formation energy without anion corrections	-2.80	eV per formula unit

Cell: 5.7319 5.7319 5.7340 Å, 90.00 90.00 90.00°
Space group P4/mmm (No. 123)
Inequivalent atoms, fractional coordinates:
Sc: 0.0000 0.0000 0.0000 (multiplicity 1)
Hg: 0.5000 0.5000 0.5000 (multiplicity 1)
Te: 0.0000 0.0000 0.5000 (multiplicity 1)
I: 0.0000 0.5000 0.0000 (multiplicity 2)

***

2.
Compound: Ba12Ge3Pt5
Source: the Alexandria database
Functional: PBE
Structure: optimized geometry

E_tot	-3.825	eV per atom
size of the total moment	0.00	Bohr magnetons per cell
ΔH_f (0 K)	-0.4689	eV per atom

Cell: 19.0894 19.0894 19.0894 Å, 90.00 90.00 90.00°
Space group Ia-3d (No. 230)
Inequivalent atoms, fractional coordinates:
Ba: 0.0217 0.0637 0.6531 (multiplicity 96)
Ge: 0.0000 0.2500 0.1250 (multiplicity 24)
Pt: 0.0000 0.0000 0.0000 (multiplicity 16)
Pt: 0.0000 0.2500 0.3750 (multiplicity 24)

***

3.
Compound: Cs2Tl9Bi4
Source: the Alexandria database
Functional: PBE
Structure: optimized geometry

E_tot	-2.677	eV per atom
size of the total moment	0.00	Bohr magnetons per cell
ΔH_f (0 K)	-0.1085	eV per atom

Cell: 5.6462 5.6462 20.7790 Å, 90.00 90.00 120.00°
Space group P-3m1 (No. 164)
Inequivalent atoms, fractional coordinates:
Cs: 0.3333 0.6667 0.2576 (multiplicity 2)
Tl: 0.0000 0.0000 0.0000 (multiplicity 1)
Tl: 0.0000 0.0000 0.1586 (multiplicity 2)
Tl: 0.0000 0.0000 0.3617 (multiplicity 2)
Tl: 0.3333 0.6667 0.0594 (multiplicity 2)
Tl: 0.3333 0.6667 0.4507 (multiplicity 2)
Bi: 0.3333 0.6667 0.6058 (multiplicity 2)
Bi: 0.3333 0.6667 0.8950 (multiplicity 2)

***

4.
Compound: ZrCdAg2
Source: the Alexandria database
Functional: PBE
Structure: optimized geometry

E_tot	-3.790	eV per atom
size of the total moment	0.00	Bohr magnetons per cell
ΔH_f (0 K)	0.0017	eV per atom

Cell: 3.0292 3.0292 30.1570 Å, 90.00 90.00 120.00°
Space group R-3m (No. 166, hexagonal axes)
Inequivalent atoms, fractional coordinates:
Zr: 0.0000 0.0000 0.0000 (multiplicity 3)
Cd: 0.0000 0.0000 0.5000 (multiplicity 3)
Ag: 0.0000 0.0000 0.2495 (multiplicity 6)